No. 1
Pu3AgN: relaxed, GGA-PBE.

The calculation puts the formation energy (no corrections) at -0.349 eV per atom. The total magnetic moment comes out at 17.528 μB/cell.

It has space group Pm-3m (No. 221), with a = 4.824 Å, b = 4.824 Å, c = 4.824 Å, α = 90.00°, β = 90.00° and γ = 90.00°. The inequivalent atoms are Pu at (0.000, 0.000, 0.500), Ag at (0.500, 0.500, 0.500) and N at (0.000, 0.000, 0.000).



No. 2
Ac5PuIr4: relaxed, GGA-PBE.

The energy of formation from the pure elements comes out at -0.51 eV per atom. The total magnetic moment comes out at 9.168 μB/cell.

It has space group C2/m (No. 12), with a = 18.629 Å, b = 4.354 Å, c = 8.178 Å, α = 90.00°, β = 105.06° and γ = 90.00°. The inequivalent atoms are Ac at (0.000, 0.000, 0.000), Ac at (0.160, 0.500, 0.829), Ac at (0.167, 0.500, 0.351), Pu at (0.000, 0.000, 0.500), Ir at (0.002, 0.500, 0.276) and Ir at (0.165, 0.000, 0.598).



No. 3
LaNd2Zn2In2: relaxed, GGA-PBE.

The energy of formation from the pure elements comes out at -0.32 eV per atom. The total magnetic moment comes out at 0.000 μB/cell.

It has space group R-3m (No. 166, hexagonal axes), with a = 4.7934 Å, b = 4.7934 Å, c = 28.6623 Å, α = 90.00°, β = 90.00° and γ = 120.00°. The inequivalent atoms are La at (0.0000, 0.0000, 0.0000), Nd at (0.0000, 0.0000, 0.1295), Zn at (0.0000, 0.0000, 0.4073) and In at (0.0000, 0.0000, 0.2629).



No. 4
ScBe2Re: relaxed, GGA-PBE.

The energy of formation from the pure elements comes out at -0.05 eV per atom. Its excess energy over the best structure of this formula in the dataset is 98 meV/atom. The total magnetic moment comes out at 0.000 μB/cell.

It has space group I4/mmm (No. 139), with a = 3.853 Å, b = 3.853 Å, c = 6.965 Å, α = 90.00°, β = 90.00° and γ = 90.00°. The inequivalent atoms are Sc at (0.000, 0.000, 0.000), Be at (0.000, 0.500, 0.250) and Re at (0.000, 0.000, 0.500).



No. 5
NaPuPtO4: relaxed, GGA-PBE.

The calculation puts the formation energy (no corrections) at -1.820 eV per atom. The total magnetic moment comes out at 11.956 μB/cell.

It has space group Imma (No. 74), with a = 6.165 Å, b = 6.658 Å, c = 10.604 Å, α = 90.00°, β = 90.00° and γ = 90.00°. The inequivalent atoms are Na at (0.000, 0.250, 0.169), Pu at (0.000, 0.000, 0.500), Pt at (0.250, 0.250, 0.750), O at (0.000, 0.055, 0.712) and O at (0.207, 0.250, 0.463).



No. 6
LiPr2Hg8: relaxed, GGA-PBE.

The energy of formation from the pure elements comes out at -0.32 eV per atom. Its excess energy over the best structure of this formula in the dataset is 0 meV/atom. The total magnetic moment comes out at 0.000 μB/cell.

It has space group C2/m (No. 12), with a = 16.555 Å, b = 5.131 Å, c = 7.113 Å, α = 90.00°, β = 114.70° and γ = 90.00°. The inequivalent atoms are Li at (0.000, 0.000, 0.000), Pr at (0.201, 0.500, 0.698), Hg at (0.001, 0.500, 0.724), Hg at (0.124, 0.000, 0.405), Hg at (0.128, 0.000, 0.851) and Hg at (0.163, 0.500, 0.163).



No. 7
RePdSeN2: relaxed, GGA-PBE.

Its excess energy over the best structure of this formula in the dataset is 0 meV/atom. The calculation puts the formation energy (no corrections) at 0.507 eV per atom. The total magnetic moment comes out at 0.000 μB/cell.

It has space group P4/mmm (No. 123), with a = 3.795 Å, b = 3.795 Å, c = 5.514 Å, α = 90.00°, β = 90.00° and γ = 90.00°. The inequivalent atoms are Re at (0.000, 0.000, 0.000), Pd at (0.500, 0.500, 0.500), Se at (0.000, 0.000, 0.500) and N at (0.000, 0.500, 0.000).



No. 8
HoBiN: relaxed, GGA-PBE.

Its excess energy over the best structure of this formula in the dataset is 0 meV/atom. The calculation puts the formation energy (no corrections) at -0.694 eV per atom. The total magnetic moment comes out at 0.000 μB/cell.

It has space group I4mm (No. 107), with a = 3.361 Å, b = 3.361 Å, c = 12.144 Å, α = 90.00°, β = 90.00° and γ = 90.00°. The inequivalent atoms are Ho at (0.000, 0.000, 0.000), Bi at (0.000, 0.000, 0.295) and N at (0.000, 0.000, 0.504).



No. 9
TlBiMo2Cl: relaxed, GGA-PBE.

Its excess energy over the best structure of this formula in the dataset is 0 meV/atom. The calculation puts the formation energy (no corrections) at 1.310 eV per atom. The total magnetic moment comes out at 3.472 μB/cell.

It has space group P4/mmm (No. 123), with a = 4.599 Å, b = 4.599 Å, c = 5.632 Å, α = 90.00°, β = 90.00° and γ = 90.00°. The inequivalent atoms are Tl at (0.000, 0.000, 0.000), Bi at (0.500, 0.500, 0.000), Mo at (0.000, 0.500, 0.500) and Cl at (0.500, 0.500, 0.500).



No. 10
Ac2PaPRh6: relaxed, GGA-PBE.

The energy of formation from the pure elements comes out at -0.79 eV per atom. The total magnetic moment comes out at 0.000 μB/cell.

It has space group P-3m1 (No. 164), with a = 6.2673 Å, b = 6.2673 Å, c = 5.9848 Å, α = 90.00°, β = 90.00° and γ = 120.00°. The inequivalent atoms are Ac at (0.3333, 0.6667, 0.2003), Pa at (0.0000, 0.0000, 0.0000), P at (0.0000, 0.0000, 0.5000) and Rh at (0.1856, 0.3713, 0.6934).



No. 11
Dy2Te2S: relaxed, GGA-PBE.

Its excess energy over the best structure of this formula in the dataset is 56 meV/atom. The calculation puts the formation energy (no corrections) at -1.522 eV per atom. The total magnetic moment comes out at 0.000 μB/cell.

It has space group Pnma (No. 62), with a = 8.481 Å, b = 6.213 Å, c = 12.186 Å, α = 90.00°, β = 90.00° and γ = 90.00°. The inequivalent atoms are Dy at (0.063, 0.250, 0.232), Dy at (0.160, 0.250, 0.572), Te at (0.048, 0.750, 0.213), Te at (0.160, 0.750, 0.562) and S at (0.209, 0.750, 0.882).



No. 12
Rb2PtO2: relaxed, GGA-PBE.

The calculation puts the formation energy (no corrections) at -1.017 eV per atom. The total magnetic moment comes out at 4.000 μB/cell.

It has space group I4/mmm (No. 139), with a = 5.693 Å, b = 5.693 Å, c = 10.002 Å, α = 90.00°, β = 90.00° and γ = 90.00°. The inequivalent atoms are Rb at (0.000, 0.500, 0.250), Pt at (0.000, 0.000, 0.000) and O at (0.000, 0.000, 0.186).



No. 13
LiCeP: relaxed, GGA-PBE.

The energy of formation from the pure elements comes out at -0.73 eV per atom. The total magnetic moment comes out at 6.339 μB/cell.

It has space group R-3m (No. 166, hexagonal axes), with a = 4.3366 Å, b = 4.3366 Å, c = 24.1733 Å, α = 90.00°, β = 90.00° and γ = 120.00°. The inequivalent atoms are Li at (0.0000, 0.0000, 0.1335), Ce at (0.0000, 0.0000, 0.3736) and P at (0.0000, 0.0000, 0.2394).



No. 14
Ca2InSeCl: relaxed, GGA-PBE.

The calculation puts the formation energy (no corrections) at -0.678 eV per atom. The total magnetic moment comes out at 0.000 μB/cell.

It has space group P4/mmm (No. 123), with a = 5.548 Å, b = 5.548 Å, c = 6.201 Å, α = 90.00°, β = 90.00° and γ = 90.00°. The inequivalent atoms are Ca at (0.000, 0.500, 0.000), In at (0.000, 0.000, 0.500), Se at (0.000, 0.000, 0.000) and Cl at (0.500, 0.500, 0.500).



No. 15
Ta2ReBr: relaxed, GGA-PBE.

Its excess energy over the best structure of this formula in the dataset is 700 meV/atom. The calculation puts the formation energy (no corrections) at 0.879 eV per atom. The total magnetic moment comes out at 0.000 μB/cell.

It has space group I-4m2 (No. 119), with a = 3.848 Å, b = 3.848 Å, c = 9.479 Å, α = 90.00°, β = 90.00° and γ = 90.00°. The inequivalent atoms are Ta at (0.000, 0.000, 0.000), Ta at (0.000, 0.500, 0.250), Re at (0.000, 0.000, 0.500) and Br at (0.000, 0.500, 0.750).



No. 16
MgAl2ZnRu: relaxed, GGA-PBE.

The energy of formation from the pure elements comes out at 1.40 eV per atom. The total magnetic moment comes out at 2.077 μB/cell.

It has space group P4/mmm (No. 123), with a = 4.884 Å, b = 4.884 Å, c = 4.601 Å, α = 90.00°, β = 90.00° and γ = 90.00°. The inequivalent atoms are Mg at (0.000, 0.000, 0.000), Al at (0.000, 0.500, 0.000), Zn at (0.000, 0.000, 0.500) and Ru at (0.500, 0.500, 0.500).



Table of raw total energy (eV/atom), in record order: -11.183, -7.546, -3.530, -6.609, -7.753, -1.585, -7.048, -6.289, -4.642, -7.517, -5.445, -4.595, -5.147, -3.092, -8.578, -2.529